# Mn3Fe2P6WO24 GGA-PBEsol relaxed
data_Mn3Fe2P6WO24
_symmetry_space_group_name_H-M 'P 1'
_symmetry_Int_Tables_number 1
_cell_length_a 9.668
_cell_length_b 9.668
_cell_length_c 9.668
_cell_angle_alpha 57.21
_cell_angle_beta 57.21
_cell_angle_gamma 57.21
loop_
_symmetry_equiv_pos_as_xyz
'x,y,z'
loop_
_atom_site_label
_atom_site_fract_x
_atom_site_fract_y
_atom_site_fract_z
_atom_site_occupancy
Mn1 0.000 0.000 0.000 1
Mn2 0.189 0.189 0.189 1
Mn3 0.692 0.692 0.692 1
Fe1 0.092 0.092 0.092 1
Fe2 0.785 0.785 0.785 1
P1 0.175 0.812 0.509 1
P2 0.337 0.680 0.788 1
P3 0.509 0.175 0.812 1
P4 0.680 0.788 0.337 1
P5 0.788 0.337 0.680 1
P6 0.812 0.509 0.175 1
W1 0.897 0.897 0.897 1
O1 0.137 0.837 0.859 1
O2 0.140 0.147 0.879 1
O3 0.147 0.879 0.140 1
O4 0.202 0.996 0.391 1
O5 0.303 0.705 0.624 1
O6 0.309 0.393 0.489 1
O7 0.391 0.202 0.996 1
O8 0.393 0.489 0.309 1
O9 0.461 0.785 0.693 1
O10 0.489 0.309 0.393 1
O11 0.618 0.698 0.909 1
O12 0.624 0.303 0.705 1
O13 0.669 0.980 0.880 1
O14 0.693 0.461 0.785 1
O15 0.698 0.909 0.618 1
O16 0.705 0.624 0.303 1
O17 0.785 0.693 0.461 1
O18 0.837 0.859 0.137 1
O19 0.859 0.137 0.837 1
O20 0.879 0.140 0.147 1
O21 0.880 0.669 0.980 1
O22 0.909 0.618 0.698 1
O23 0.980 0.880 0.669 1
O24 0.996 0.391 0.202 1
# Space group   R3, No. 146
# Total moment   0.14 μB per atom
# Energy relative to the elements, uncorrected   -1.1009 eV per atom
# N(E_F)   9.0 states/eV/cell
# Calculated volume   597.9 Å³/cell